A relaxed structure of BaScMo2O8. Source: the Alexandria database, functional PBE with a Hubbard U.

```
BaScMo2O8
1.0
5.876 0.000 0.000
-2.938 5.088 0.000
0.000 0.000 7.324
Ba Sc Mo O
1 1 2 8
direct
0.000 0.000 0.000
0.000 0.000 0.500
0.333 0.667 0.245
0.667 0.333 0.755
0.161 0.322 0.319
0.161 0.839 0.319
0.322 0.161 0.681
0.333 0.667 0.001
0.667 0.333 0.999
0.678 0.839 0.319
0.839 0.161 0.681
0.839 0.678 0.681
```

E_tot: -88.93 eV/f.u.
Space group: P-3m1 (164)
Crystal system: trigonal